[1]
## CePm4Nd3 (PBE)

Data for a relaxed structure of CePm4Nd3.

The structure in POSCAR format:
```
CePm4Nd3
1.0
12.838 -1.742 0.000
12.838 1.742 0.000
-0.601 0.000 6.185
Ce Pm Nd
1 4 3
Cartesian
0.000 0.000 0.000
5.528 0.000 1.468
9.695 0.000 4.793
15.380 0.000 1.392
19.547 0.000 4.717
8.973 0.000 1.598
12.537 0.000 3.093
16.102 0.000 4.587
```

Summary:
For the energy relative to the elements, the calculation gives 5.26 kcal/mol of atoms.

***

[2]
## CePm8Nd4 (PBE)

Data for a relaxed structure of CePm8Nd4.

The structure in POSCAR format:
```
CePm8Nd4
1.0
5.939 3.429 3.867
-5.939 3.429 3.867
0.000 -6.858 3.867
Ce Pm Nd
1 8 4
Cartesian
0.000 0.000 0.000
-2.951 -1.704 5.805
0.000 0.000 2.948
0.000 -3.408 5.795
-2.951 1.704 5.795
2.951 -1.704 5.805
0.000 3.408 5.805
0.000 0.000 8.653
2.951 1.704 5.795
-5.939 0.000 5.800
-2.969 1.714 1.933
2.969 1.714 1.933
0.000 0.000 5.800
```

Summary:
For the energy relative to the elements, the calculation gives 9.43 kcal/mol of atoms.

***

[3]
## CePmNd6 (PBE)

Data for a relaxed structure of CePmNd6.

The structure in POSCAR format:
```
CePmNd6
1.0
5.173 0.000 0.000
0.000 5.173 0.000
0.000 0.000 10.341
Ce Pm Nd
1 1 6
Cartesian
0.000 0.000 0.000
0.000 0.000 5.171
0.000 2.587 2.551
0.000 2.587 7.791
2.587 0.000 2.551
2.587 0.000 7.791
2.587 2.587 0.000
2.587 2.587 5.171
```

Summary:
The energy above the most stable polymorph in this dataset is 0.000 eV per atom. For the energy relative to the elements, the calculation gives 1.07 kcal/mol of atoms.

***

[4]
## CePm4Nd4 (PBE)

Data for a relaxed structure of CePm4Nd4.

The structure in POSCAR format:
```
CePm4Nd4
1.0
-5.479 5.479 2.583
5.479 -5.479 2.583
5.479 5.479 -2.583
Ce Pm Nd
1 4 4
Cartesian
0.000 0.000 0.000
3.637 0.000 0.000
7.322 0.000 0.000
0.000 3.637 0.000
0.000 7.322 0.000
3.680 3.680 0.000
1.799 -1.799 2.583
-1.799 1.799 2.583
1.799 1.799 2.583
```

Summary:
For the energy relative to the elements, the calculation gives 0.98 kcal/mol of atoms.

***

Look up the energy relative to the elements of the third one. 1.07 kcal/mol of atoms

***

Number 2 is which compound? CePm8Nd4